The following is a DFT calculation (GGA-PBE) of a geometry-optimized CaRuCl4 structure.

Energy relative to the elements, uncorrected in eV per atom: 0.325

The structure in CIF format:
```
data_CaRuCl4
_chemical_formula_sum 'Ca4 Ru4 Cl16'
_cell_length_a 8.332
_cell_length_b 8.332
_cell_length_c 8.332
_cell_angle_alpha 90.00
_cell_angle_beta 90.00
_cell_angle_gamma 90.00
_space_group_name_H-M_alt 'F -4 3 m'
_space_group_IT_number 216
_space_group_name_Hall 'F -4 2 3'
loop_
_atom_site_label
_atom_site_fract_x
_atom_site_fract_y
_atom_site_fract_z
_atom_site_occupancy
Ca1 0.000 0.000 0.000 1
Ru1 0.250 0.250 0.250 1
Cl1 0.125 0.125 0.625 1
```

---

The following is a DFT calculation (GGA-PBE) of a geometry-optimized CaRuCl2 structure.

Energy relative to the elements, uncorrected in eV per atom: -0.537
Polymorph energy (0 for the lowest one) in meV/atom: 210

The structure in CIF format:
```
data_CaRuCl2
_chemical_formula_sum 'Ca1 Ru1 Cl2'
_cell_length_a 3.754
_cell_length_b 3.754
_cell_length_c 5.933
_cell_angle_alpha 90.00
_cell_angle_beta 90.00
_cell_angle_gamma 90.00
_space_group_name_H-M_alt 'P 4 m m'
_space_group_IT_number 99
loop_
_space_group_symop_operation_xyz
'x,y,z'
'-y,x,z'
'-x,-y,z'
'y,-x,z'
'-x,y,z'
'y,x,z'
'x,-y,z'
'-y,-x,z'
loop_
_atom_site_label
_atom_site_fract_x
_atom_site_fract_y
_atom_site_fract_z
_atom_site_occupancy
Ca1 0.000 0.000 0.000 1
Ru1 0.500 0.500 0.709 1
Cl1 0.000 0.000 0.537 1
Cl2 0.500 0.500 0.130 1
```

---

The following is a DFT calculation (GGA-PBE) of a geometry-optimized CaRuCl2 structure.

Energy relative to the elements, uncorrected in eV per atom: -0.491
Polymorph energy (0 for the lowest one) in meV/atom: 257

The structure in CIF format:
```
data_CaRuCl2
_chemical_formula_sum 'Ca2 Ru2 Cl4'
_cell_length_a 6.641
_cell_length_b 7.596
_cell_length_c 4.874
_cell_angle_alpha 90.00
_cell_angle_beta 132.80
_cell_angle_gamma 90.00
_space_group_name_H-M_alt 'C 1 2/m 1'
_space_group_IT_number 12
loop_
_space_group_symop_operation_xyz
'x,y,z'
'-x,-y,-z'
'-x,y,-z'
'x,-y,z'
'x+1/2,y+1/2,z'
'-x+1/2,-y+1/2,-z'
'-x+1/2,y+1/2,-z'
'x+1/2,-y+1/2,z'
loop_
_atom_site_label
_atom_site_fract_x
_atom_site_fract_y
_atom_site_fract_z
_atom_site_occupancy
Ca1 0.000 0.000 0.000 1
Ru1 0.000 0.500 0.000 1
Cl1 0.250 0.250 0.500 1
```

---

The following is a DFT calculation (GGA-PBE) of a geometry-optimized CaRuCl2 structure.

Energy relative to the elements, uncorrected in eV per atom: -0.486
Polymorph energy (0 for the lowest one) in meV/atom: 262

The structure in CIF format:
```
data_CaRuCl2
_chemical_formula_sum 'Ca3 Ru3 Cl6'
_cell_length_a 3.9377
_cell_length_b 3.9377
_cell_length_c 23.0438
_cell_angle_alpha 90.00
_cell_angle_beta 90.00
_cell_angle_gamma 120.00
_space_group_name_H-M_alt 'R -3 m'
_space_group_IT_number 166
_space_group_name_Hall '-R 3 2"'
loop_
_atom_site_label
_atom_site_fract_x
_atom_site_fract_y
_atom_site_fract_z
_atom_site_occupancy
Ca1 0.0000 0.0000 0.0000 1
Ru1 0.0000 0.0000 0.5000 1
Cl1 0.0000 0.0000 0.3976 1
```

---

The following is a DFT calculation (GGA-PBE) of a geometry-optimized CaRu2Cl structure.

Energy relative to the elements, uncorrected in eV per atom: 0.097
Polymorph energy (0 for the lowest one) in meV/atom: 360

The structure in CIF format:
```
data_CaRu2Cl
_chemical_formula_sum 'Ca1 Ru2 Cl1'
_cell_length_a 3.210
_cell_length_b 5.844
_cell_length_c 4.185
_cell_angle_alpha 90.00
_cell_angle_beta 92.02
_cell_angle_gamma 90.00
_space_group_name_H-M_alt 'P 1 2/m 1'
_space_group_IT_number 10
loop_
_space_group_symop_operation_xyz
'x,y,z'
'-x,-y,-z'
'-x,y,-z'
'x,-y,z'
loop_
_atom_site_label
_atom_site_fract_x
_atom_site_fract_y
_atom_site_fract_z
_atom_site_occupancy
Ca1 0.000 0.000 0.000 1
Ru1 0.316 0.500 0.242 1
Cl1 0.500 0.000 0.500 1
```

---

The following is a DFT calculation (GGA-PBE) of a geometry-optimized CaScRu2Cl structure.

Energy relative to the elements, uncorrected in eV per atom: 0.369

The structure in CIF format:
```
data_CaScRu2Cl
_chemical_formula_sum 'Ca1 Sc1 Ru2 Cl1'
_cell_length_a 4.768
_cell_length_b 4.768
_cell_length_c 5.108
_cell_angle_alpha 90.00
_cell_angle_beta 90.00
_cell_angle_gamma 90.00
_space_group_name_H-M_alt 'P 4/m m m'
_space_group_IT_number 123
_space_group_name_Hall '-P 4 2'
loop_
_atom_site_label
_atom_site_fract_x
_atom_site_fract_y
_atom_site_fract_z
_atom_site_occupancy
Ca1 0.000 0.000 0.000 1
Sc1 0.500 0.500 0.500 1
Ru1 0.000 0.500 0.500 1
Cl1 0.500 0.500 0.000 1
```

---

The following is a DFT calculation (GGA-PBE) of a geometry-optimized CaSCl3 structure.

Energy relative to the elements, uncorrected in eV per atom: -0.575
Polymorph energy (0 for the lowest one) in meV/atom: 210

The structure in CIF format:
```
data_CaSCl3
_chemical_formula_sum 'Ca1 S1 Cl3'
_cell_length_a 5.064
_cell_length_b 5.064
_cell_length_c 5.064
_cell_angle_alpha 90.00
_cell_angle_beta 90.00
_cell_angle_gamma 90.00
_space_group_name_H-M_alt 'P m -3 m'
_space_group_IT_number 221
_space_group_name_Hall '-P 4 2 3'
loop_
_atom_site_label
_atom_site_fract_x
_atom_site_fract_y
_atom_site_fract_z
_atom_site_occupancy
Ca1 0.000 0.000 0.000 1
S1 0.500 0.500 0.500 1
Cl1 0.000 0.500 0.500 1
```

---

The following is a DFT calculation (GGA-PBE) of a geometry-optimized Ca4S2Cl structure.

Energy relative to the elements, uncorrected in eV per atom: -1.281

The structure in CIF format:
```
data_Ca4S2Cl
_chemical_formula_sum 'Ca8 S4 Cl2'
_cell_length_a 5.151
_cell_length_b 5.151
_cell_length_c 20.669
_cell_angle_alpha 90.00
_cell_angle_beta 90.00
_cell_angle_gamma 90.00
_space_group_name_H-M_alt 'I 4/m m m'
_space_group_IT_number 139
_space_group_name_Hall '-I 4 2'
loop_
_atom_site_label
_atom_site_fract_x
_atom_site_fract_y
_atom_site_fract_z
_atom_site_occupancy
Ca1 0.000 0.000 0.205 1
Ca2 0.000 0.500 0.000 1
S1 0.000 0.000 0.077 1
Cl1 0.000 0.000 0.500 1
```

---

The following is a DFT calculation (GGA-PBE) of a geometry-optimized Ca6S5Cl structure.

Energy relative to the elements, uncorrected in eV per atom: -2.080

The structure in CIF format:
```
data_Ca6S5Cl
_chemical_formula_sum 'Ca12 S10 Cl2'
_cell_length_a 6.988
_cell_length_b 12.097
_cell_length_c 6.983
_cell_angle_alpha 90.00
_cell_angle_beta 109.45
_cell_angle_gamma 90.00
_space_group_name_H-M_alt 'C 1 2/m 1'
_space_group_IT_number 12
loop_
_space_group_symop_operation_xyz
'x,y,z'
'-x,-y,-z'
'-x,y,-z'
'x,-y,z'
'x+1/2,y+1/2,z'
'-x+1/2,-y+1/2,-z'
'-x+1/2,y+1/2,-z'
'x+1/2,-y+1/2,z'
loop_
_atom_site_label
_atom_site_fract_x
_atom_site_fract_y
_atom_site_fract_z
_atom_site_occupancy
Ca1 0.240 0.000 0.257 1
Ca2 0.241 0.173 0.742 1
S1 0.000 0.000 0.500 1
S2 0.000 0.167 0.000 1
S3 0.000 0.338 0.500 1
Cl1 0.000 0.500 0.000 1
```

---

The following is a DFT calculation (GGA-PBE) of a geometry-optimized Ca3SCl structure.

Energy relative to the elements, uncorrected in eV per atom: -0.890
Polymorph energy (0 for the lowest one) in meV/atom: 0

The structure in CIF format:
```
data_Ca3SCl
_chemical_formula_sum 'Ca3 S1 Cl1'
_cell_length_a 5.484
_cell_length_b 5.484
_cell_length_c 5.484
_cell_angle_alpha 90.00
_cell_angle_beta 90.00
_cell_angle_gamma 90.00
_space_group_name_H-M_alt 'P m -3 m'
_space_group_IT_number 221
_space_group_name_Hall '-P 4 2 3'
loop_
_atom_site_label
_atom_site_fract_x
_atom_site_fract_y
_atom_site_fract_z
_atom_site_occupancy
Ca1 0.000 0.000 0.500 1
S1 0.000 0.000 0.000 1
Cl1 0.500 0.500 0.500 1
```

---

The following is a DFT calculation (GGA-PBE) of a geometry-optimized Ca5S4Cl structure.

Energy relative to the elements, uncorrected in eV per atom: -2.047

The structure in CIF format:
```
data_Ca5S4Cl
_chemical_formula_sum 'Ca10 S8 Cl2'
_cell_length_a 4.043
_cell_length_b 5.681
_cell_length_c 20.206
_cell_angle_alpha 90.00
_cell_angle_beta 90.00
_cell_angle_gamma 90.00
_space_group_name_H-M_alt 'I m m m'
_space_group_IT_number 71
_space_group_name_Hall '-I 2 2'
loop_
_atom_site_label
_atom_site_fract_x
_atom_site_fract_y
_atom_site_fract_z
_atom_site_occupancy
Ca1 0.000 0.000 0.000 1
Ca2 0.000 0.000 0.199 1
Ca3 0.000 0.000 0.391 1
S1 0.000 0.500 0.201 1
S2 0.000 0.500 0.403 1
Cl1 0.000 0.500 0.000 1
```

---

The following is a DFT calculation (GGA-PBE) of a geometry-optimized Ca3S2Cl2 structure.

Energy relative to the elements, uncorrected in eV per atom: -2.214
Polymorph energy (0 for the lowest one) in meV/atom: 0

The structure in CIF format:
```
data_Ca3S2Cl2
_chemical_formula_sum 'Ca6 S4 Cl4'
_cell_length_a 13.535
_cell_length_b 4.015
_cell_length_c 7.183
_cell_angle_alpha 90.00
_cell_angle_beta 102.50
_cell_angle_gamma 90.00
_space_group_name_H-M_alt 'C 1 2/m 1'
_space_group_IT_number 12
loop_
_space_group_symop_operation_xyz
'x,y,z'
'-x,-y,-z'
'-x,y,-z'
'x,-y,z'
'x+1/2,y+1/2,z'
'-x+1/2,-y+1/2,-z'
'-x+1/2,y+1/2,-z'
'x+1/2,-y+1/2,z'
loop_
_atom_site_label
_atom_site_fract_x
_atom_site_fract_y
_atom_site_fract_z
_atom_site_occupancy
Ca1 0.000 0.000 0.000 1
Ca2 0.231 0.000 0.760 1
S1 0.124 0.500 0.896 1
Cl1 0.146 0.000 0.361 1
```